Computed, not measured: Sr5As2PI after structural relaxation at the PBE level of DFT.

Cell: 9.2153 9.2153 9.2153 Å, 145.24 129.33 62.91°
Closest atoms and distances in Å follow each position.
Atoms (fractional coordinates):
Sr1 0.0000 0.0000 0.0000  2 P 2.75
Sr2 0.0754 0.3470 0.7285  1 P 3.01, 1 As 3.10
Sr3 0.3815 0.6530 0.7285  1 P 3.01, 1 As 3.10
Sr4 0.6185 0.3470 0.2715  1 P 3.01, 1 As 3.10
Sr5 0.9246 0.6530 0.2715  1 P 3.01, 1 As 3.10
As1 0.2042 0.2042 0.0000  7 Sr 3.10-3.39
As2 0.7958 0.7958 0.0000  7 Sr 3.10-3.39
P1 0.0000 0.5000 0.5000  6 Sr 2.75-3.01
I1 0.5000 0.0000 0.5000  10 Sr 3.94-4.24

Results
symmetry: Immm, No. 71
uncorrected formation energy: -1.12 eV/atom
Fermi-level density of states: 0.02 states/eV/atom